1.
The following is a DFT calculation (PBE) of a geometry-optimized TlTe2I structure.

Properties
E_form (uncorrected) = 0.05 eV/atom
DOS at the Fermi energy = 0.588 states/eV/atom
total magnetization = 0.0000 μB per atom
energy relative to the lowest polymorph listed for this composition = 0.0 kJ per mole of atoms
calculated volume = 42.7 A^3/atom

Unit cell a=9.502 b=9.502 c=9.502 alpha=28.33 beta=28.33 gamma=28.33
Element x y z (fractional)
I 0.000 0.000 0.000
Tl 0.500 0.500 0.500
Te 0.892 0.892 0.892
Te 0.108 0.108 0.108



2.
The following is a DFT calculation (PBE) of a geometry-optimized CrCdAs2Se structure.

Properties
E_form (uncorrected) = 0.26 eV/atom
DOS at the Fermi energy = 0.503 states/eV/atom
total magnetization = 0.2666 μB per atom
energy relative to the lowest polymorph listed for this composition = 0.0 kJ per mole of atoms
calculated volume = 22.8 A^3/atom

Unit cell a=4.530 b=4.530 c=5.558 alpha=90.00 beta=90.00 gamma=90.00
Element x y z (fractional)
Cr 0.000 0.000 0.000
As 0.000 0.500 0.000
As 0.500 0.000 0.000
Se 0.000 0.000 0.500
Cd 0.500 0.500 0.500



3.
The following is a DFT calculation (PBE) of a geometry-optimized Hf2Zr3Rh structure.

Properties
energy relative to the elements = -25.6 kJ per mole of atoms
DOS at the Fermi energy = 1.236 states/eV/atom
total magnetization = 0.0000 μB per atom
calculated volume = 21.1 A^3/atom

Unit cell a=3.338 b=5.024 c=7.946 alpha=108.43 beta=90.00 gamma=90.00
Element x y z (fractional)
Hf 0.500 0.857 0.714
Hf 0.500 0.143 0.286
Zr 0.000 0.679 0.357
Zr 0.000 0.321 0.643
Zr 0.500 0.500 0.000
Rh 0.000 0.000 0.000



4.
The following is a DFT calculation (PBE) of a geometry-optimized Y3BeTl structure.

Properties
energy relative to the elements = 7.2 kJ per mole of atoms
DOS at the Fermi energy = 1.667 states/eV/atom
total magnetization = 0.0000 μB per atom
energy relative to the lowest polymorph listed for this composition = 0.0 kJ per mole of atoms
calculated volume = 28.1 A^3/atom

Unit cell a=5.201 b=5.201 c=5.201 alpha=90.00 beta=90.00 gamma=90.00
Element x y z (fractional)
Y 0.000 0.500 0.000
Y 0.000 0.000 0.500
Y 0.500 0.000 0.000
Be 0.000 0.000 0.000
Tl 0.500 0.500 0.500



5.
The following is a DFT calculation (PBE) of a geometry-optimized MgPdSCl2 structure.

Properties
E_form (uncorrected) = -0.25 eV/atom
DOS at the Fermi energy = 1.263 states/eV/atom
total magnetization = 0.3710 μB per atom
energy relative to the lowest polymorph listed for this composition = 8.1 kJ per mole of atoms
calculated volume = 22.9 A^3/atom

Unit cell a=4.746 b=4.746 c=5.086 alpha=90.00 beta=90.00 gamma=90.00
Element x y z (fractional)
S 0.000 0.000 0.500
Mg 0.000 0.000 0.000
Pd 0.500 0.500 0.500
Cl 0.000 0.500 0.000
Cl 0.500 0.000 0.000



6.
The following is a DFT calculation (PBE) of a geometry-optimized NpTl2IrO8 structure.

Properties
E_form (uncorrected) = -1.29 eV/atom
DOS at the Fermi energy = 0.311 states/eV/atom
total magnetization = 0.1992 μB per atom
calculated volume = 14.2 A^3/atom

Unit cell a=5.110 b=5.094 c=6.563 alpha=90.00 beta=90.00 gamma=92.35
Element x y z (fractional)
Np 0.000 0.000 0.000
Tl 0.500 0.500 0.742
Tl 0.500 0.500 0.258
Ir 0.000 0.000 0.500
O 0.174 0.820 0.257
O 0.706 0.712 0.000
O 0.826 0.180 0.257
O 0.826 0.180 0.743
O 0.294 0.288 0.000
O 0.174 0.820 0.743
O 0.720 0.727 0.500
O 0.280 0.273 0.500